(1)
# PBE Pa2FeRu, relaxed
# * calculated volume: 18.971 Å³/atom
# * VASP energy: -37.3 eV for the cell shown
# * energy of formation: -0.15 eV per atom
data_Pa2FeRu
_cell_length_a 3.3317
_cell_length_b 3.3317
_cell_length_c 6.8362
_cell_angle_alpha 90.00
_cell_angle_beta 90.00
_cell_angle_gamma 90.00
_symmetry_space_group_name_H-M 'P 4/m m m'
_symmetry_Int_Tables_number 123
_symmetry_space_group_name_Hall '-P 4 2'
loop_
_atom_site_label
_atom_site_type_symbol
_atom_site_fract_x
_atom_site_fract_y
_atom_site_fract_z
Pa1 Pa 0.0000 0.0000 0.2337
Fe1 Fe 0.5000 0.5000 0.0000
Ru1 Ru 0.5000 0.5000 0.5000

(2)
# PBE Sc6Cd3Ag, relaxed
# * calculated volume: 22.232 Å³/atom
# * VASP energy: -91.1 eV for the cell shown
# * energy of formation: -0.20 eV per atom
data_Sc6Cd3Ag
_cell_length_a 8.5381
_cell_length_b 5.0522
_cell_length_c 10.9782
_cell_angle_alpha 90.00
_cell_angle_beta 110.12
_cell_angle_gamma 90.00
_symmetry_space_group_name_H-M 'P 1 21/m 1'
_symmetry_Int_Tables_number 11
loop_
_symmetry_equiv_pos_as_xyz
'x,y,z'
'-x,-y,-z'
'-x,y+1/2,-z'
'x,-y+1/2,z'
loop_
_atom_site_label
_atom_site_type_symbol
_atom_site_fract_x
_atom_site_fract_y
_atom_site_fract_z
Sc1 Sc 0.0390 0.2500 0.4186
Sc2 Sc 0.1705 0.7500 0.1743
Sc3 Sc 0.2590 0.2500 0.0106
Sc4 Sc 0.3473 0.7500 0.8023
Sc5 Sc 0.3604 0.2500 0.3358
Sc6 Sc 0.4120 0.2500 0.6327
Cd1 Cd 0.0317 0.7500 0.8752
Cd2 Cd 0.1100 0.2500 0.7183
Cd3 Cd 0.2735 0.7500 0.4771
Ag1 Ag 0.4514 0.7500 0.0899

(3)
# PBE Pm3PrNdDy, relaxed
# * calculated volume: 34.308 Å³/atom
# * VASP energy: -56.6 eV for the cell shown
# * energy of formation: 0.02 eV per atom
data_Pm3PrNdDy
_cell_length_a 8.1487
_cell_length_b 5.1679
_cell_length_c 10.3108
_cell_angle_alpha 90.00
_cell_angle_beta 108.53
_cell_angle_gamma 90.00
_symmetry_space_group_name_H-M 'P 1 21/m 1'
_symmetry_Int_Tables_number 11
loop_
_symmetry_equiv_pos_as_xyz
'x,y,z'
'-x,-y,-z'
'-x,y+1/2,-z'
'x,-y+1/2,z'
loop_
_atom_site_label
_atom_site_type_symbol
_atom_site_fract_x
_atom_site_fract_y
_atom_site_fract_z
Pm1 Pm 0.1671 0.2500 0.0423
Pm2 Pm 0.1677 0.7500 0.7907
Pm3 Pm 0.1693 0.2500 0.5417
Pr1 Pr 0.1681 0.7500 0.2930
Nd1 Nd 0.4996 0.2500 0.8737
Dy1 Dy 0.4998 0.2500 0.3763

(4)
# PBE LiLaSi2, relaxed
# * energy relative to the elements, uncorrected: -19 kJ/mol of atoms
# * calculated volume: 21.054 Å³/atom
# * VASP energy: -73.8 eV for the cell shown
data_LiLaSi2
_cell_length_a 6.9580
_cell_length_b 6.9580
_cell_length_c 6.9580
_cell_angle_alpha 90.00
_cell_angle_beta 90.00
_cell_angle_gamma 90.00
_symmetry_space_group_name_H-M 'F m -3 m'
_symmetry_Int_Tables_number 225
_symmetry_space_group_name_Hall '-F 4 2 3'
loop_
_atom_site_label
_atom_site_type_symbol
_atom_site_fract_x
_atom_site_fract_y
_atom_site_fract_z
Li1 Li 0.0000 0.0000 0.0000
La1 La 0.0000 0.0000 0.5000
Si1 Si 0.2500 0.2500 0.2500

(5)
# PBE Mn2GaBSe, relaxed
# * energy relative to the elements, uncorrected: 2 kJ/mol of atoms
# * calculated volume: 13.558 Å³/atom
# * VASP energy: -62.8 eV for the cell shown
data_Mn2GaBSe
_cell_length_a 8.8020
_cell_length_b 3.0110
_cell_length_c 5.4277
_cell_angle_alpha 90.00
_cell_angle_beta 109.52
_cell_angle_gamma 90.00
_symmetry_space_group_name_H-M 'C 1 m 1'
_symmetry_Int_Tables_number 8
loop_
_symmetry_equiv_pos_as_xyz
'x,y,z'
'x,-y,z'
'x+1/2,y+1/2,z'
'x+1/2,-y+1/2,z'
loop_
_atom_site_label
_atom_site_type_symbol
_atom_site_fract_x
_atom_site_fract_y
_atom_site_fract_z
Mn1 Mn 0.0000 0.0000 0.0000
Mn2 Mn 0.0276 0.0000 0.5155
Ga1 Ga 0.2388 0.5000 0.0805
B1 B 0.0196 0.5000 0.2533
Se1 Se 0.3456 0.0000 0.6648

(6)
# PBE AlCr2Cu, relaxed
# * calculated volume: 13.319 Å³/atom
# * VASP energy: -53.7 eV for the cell shown
# * energy of formation: 0.06 eV per atom
data_AlCr2Cu
_cell_length_a 3.8199
_cell_length_b 3.8199
_cell_length_c 7.3023
_cell_angle_alpha 90.00
_cell_angle_beta 90.00
_cell_angle_gamma 90.00
_symmetry_space_group_name_H-M 'I -4 m 2'
_symmetry_Int_Tables_number 119
_symmetry_space_group_name_Hall 'I -4 -2'
loop_
_atom_site_label
_atom_site_type_symbol
_atom_site_fract_x
_atom_site_fract_y
_atom_site_fract_z
Al1 Al 0.0000 0.0000 0.0000
Cr1 Cr 0.0000 0.0000 0.5000
Cr2 Cr 0.0000 0.5000 0.7500
Cu1 Cu 0.0000 0.5000 0.2500

(7)
# PBE NaSm2Y, relaxed
# * calculated volume: 33.885 Å³/atom
# * VASP energy: -50.6 eV for the cell shown
# * energy of formation: 0.09 eV per atom
data_NaSm2Y
_cell_length_a 3.5869
_cell_length_b 3.5869
_cell_length_c 36.4946
_cell_angle_alpha 90.00
_cell_angle_beta 90.00
_cell_angle_gamma 120.00
_symmetry_space_group_name_H-M 'R -3 m'
_symmetry_Int_Tables_number 166
_symmetry_space_group_name_Hall '-R 3 2"'
loop_
_atom_site_label
_atom_site_type_symbol
_atom_site_fract_x
_atom_site_fract_y
_atom_site_fract_z
Na1 Na 0.0000 0.0000 0.0000
Sm1 Sm 0.0000 0.0000 0.2455
Y1 Y 0.0000 0.0000 0.5000

(8)
# PBE K2CeIrO6, relaxed
# * energy relative to the elements, uncorrected: -176 kJ/mol of atoms
# * calculated volume: 14.710 Å³/atom
# * VASP energy: -260.0 eV for the cell shown
data_K2CeIrO6
_cell_length_a 8.3795
_cell_length_b 8.3795
_cell_length_c 8.3795
_cell_angle_alpha 90.00
_cell_angle_beta 90.00
_cell_angle_gamma 90.00
_symmetry_space_group_name_H-M 'F m -3 m'
_symmetry_Int_Tables_number 225
_symmetry_space_group_name_Hall '-F 4 2 3'
loop_
_atom_site_label
_atom_site_type_symbol
_atom_site_fract_x
_atom_site_fract_y
_atom_site_fract_z
K1 K 0.2500 0.2500 0.2500
Ce1 Ce 0.0000 0.0000 0.0000
Ir1 Ir 0.0000 0.0000 0.5000
O1 O 0.0000 0.0000 0.2677

(9)
# PBE K2H2Br, relaxed
# * calculated volume: 24.696 Å³/atom
# * VASP energy: -24.5 eV for the cell shown
data_K2H2Br
_cell_length_a 4.0751
_cell_length_b 4.0751
_cell_length_c 14.8716
_cell_angle_alpha 90.00
_cell_angle_beta 90.00
_cell_angle_gamma 90.00
_symmetry_space_group_name_H-M 'I 4/m m m'
_symmetry_Int_Tables_number 139
_symmetry_space_group_name_Hall '-I 4 2'
loop_
_atom_site_label
_atom_site_type_symbol
_atom_site_fract_x
_atom_site_fract_y
_atom_site_fract_z
K1 K 0.0000 0.0000 0.1286
H1 H 0.0000 0.5000 0.2500
Br1 Br 0.0000 0.0000 0.5000

(10)
# PBE Cs4K2Pt, relaxed
# * calculated volume: 82.256 Å³/atom
# * VASP energy: -23.0 eV for the cell shown
# * energy of formation: 0.02 eV per atom
data_Cs4K2Pt
_cell_length_a 6.7793
_cell_length_b 6.7793
_cell_length_c 25.0571
_cell_angle_alpha 90.00
_cell_angle_beta 90.00
_cell_angle_gamma 90.00
_symmetry_space_group_name_H-M 'I 4/m m m'
_symmetry_Int_Tables_number 139
_symmetry_space_group_name_Hall '-I 4 2'
loop_
_atom_site_label
_atom_site_type_symbol
_atom_site_fract_x
_atom_site_fract_y
_atom_site_fract_z
Cs1 Cs 0.0000 0.0000 0.1315
Cs2 Cs 0.0000 0.5000 0.0000
K1 K 0.0000 0.0000 0.3156
Pt1 Pt 0.0000 0.0000 0.0000